# 1
Below is a relaxed structure of MgHgCl3, with properties calculated at the PBE-GGA level.

Results
DFT total energy = -2.526 eV/atom
Calculated density = 4.52 g cm⁻³
Size of the total moment = 0.0 μB per formula unit
E above lowest polymorph = 0 meV/atom
Formation energy from raw total energies = -1.039 eV per atom

Cell: 4.957 4.957 4.957 Å, 90.00 90.00 90.00°
Atoms (fractional coordinates):
Mg: 0.000 0.000 0.000
Hg: 0.500 0.500 0.500
Cl: 0.000 0.500 0.000
Cl: 0.000 0.000 0.500
Cl: 0.500 0.000 0.000



# 2
Below is a relaxed structure of TlCrTc2, with properties calculated at the PBE-GGA level.

Results
DFT total energy = -7.621 eV/atom
Formation enthalpy at 0 K = 0.56 eV/atom
Calculated density = 11.56 g cm⁻³
Size of the total moment = 0.5 μB per formula unit
E above lowest polymorph = 129 meV/atom

Cell: 4.856 4.856 4.836 Å, 78.18 78.18 35.72°
Each line ends with the local moment (μB).
Atoms (fractional coordinates):
Cr: 0.264 0.264 0.194  0.87
Tc: 0.995 0.995 0.001  -0.19
Tc: 0.738 0.738 0.810  -0.19
Tl: 0.503 0.503 0.495  0.00



# 3
Below is a relaxed structure of PrErMn, with properties calculated at the PBE-GGA level.

Results
DFT total energy = -5.971 eV/atom
Formation enthalpy at 0 K = 0.20 eV/atom
Calculated density = 7.44 g cm⁻³
Size of the total moment = 2.9 μB per formula unit

Cell: 3.551 3.551 6.901 Å, 104.91 104.91 90.00°
Each line ends with the local moment (μB).
Atoms (fractional coordinates):
Pr: 0.026 0.026 0.051  -0.15
Mn: 0.673 0.673 0.346  3.30
Er: 0.301 0.301 0.602  -0.21



# 4
Below is a relaxed structure of Ca2InBi2, with properties calculated at the PBE-GGA level.

Results
DFT total energy = -3.210 eV/atom
Formation enthalpy at 0 K = -0.31 eV/atom
Calculated density = 5.35 g cm⁻³
Size of the total moment = 0.0 μB per formula unit
E above lowest polymorph = 243 meV/atom

Cell: 5.636 5.636 7.196 Å, 66.94 66.94 90.00°
Atoms (fractional coordinates):
Ca: 0.750 0.250 0.500
Ca: 0.250 0.750 0.500
Bi: 0.372 0.372 0.256
Bi: 0.628 0.628 0.744
In: 0.000 0.000 0.000



# 5
Below is a relaxed structure of CsLiTl2Ag, with properties calculated at the PBE-GGA level.

Results
DFT total energy = -2.011 eV/atom
Formation enthalpy at 0 K = 0.06 eV/atom
Calculated density = 6.13 g cm⁻³
Size of the total moment = 0.0 μB per formula unit

Cell: 5.668 5.668 5.541 Å, 90.00 90.00 90.00°
Atoms (fractional coordinates):
Cs: 0.500 0.500 0.500
Tl: 0.000 0.500 0.000
Tl: 0.500 0.000 0.000
Ag: 0.000 0.000 0.000
Li: 0.000 0.000 0.500



# 6
Below is a relaxed structure of TiIrRh4, with properties calculated at the PBE-GGA level.

Results
DFT total energy = -7.928 eV/atom
Formation enthalpy at 0 K = -0.23 eV/atom
Calculated density = 12.01 g cm⁻³
Size of the total moment = 0.0 μB per formula unit
E above lowest polymorph = 194 meV/atom

Cell: 5.246 5.221 7.435 Å, 90.00 90.00 62.25°
Atoms (fractional coordinates):
Ti: 0.000 0.250 0.750
Ti: 0.000 0.750 0.250
Ir: 0.500 0.250 0.250
Ir: 0.500 0.750 0.750
Rh: 0.251 0.503 0.942
Rh: 0.251 0.503 0.558
Rh: 0.749 0.997 0.942
Rh: 0.749 0.497 0.442
Rh: 0.749 0.997 0.558
Rh: 0.251 0.003 0.058
Rh: 0.251 0.003 0.442
Rh: 0.749 0.497 0.058



# 7
Below is a relaxed structure of TaTi2B, with properties calculated at the PBE-GGA level.

Results
DFT total energy = -8.412 eV/atom
Formation enthalpy at 0 K = 0.17 eV/atom
Calculated density = 7.99 g cm⁻³
Size of the total moment = 0.0 μB per formula unit

Cell: 7.119 7.119 5.559 Å, 50.19 50.19 90.00°
Atoms (fractional coordinates):
B: 0.500 0.500 0.000
B: 0.250 0.750 0.500
Ti: 0.559 0.125 0.250
Ti: 0.191 0.625 0.250
Ti: 0.375 0.441 0.750
Ti: 0.875 0.809 0.750
Ta: 0.000 0.000 0.000
Ta: 0.750 0.250 0.500



# 8
Below is a relaxed structure of Pr6Dy3Tm2Mg, with properties calculated at the PBE-GGA level.

Results
DFT total energy = -4.392 eV/atom
Formation enthalpy at 0 K = 0.03 eV/atom
Calculated density = 7.14 g cm⁻³
Size of the total moment = 0.0 μB per formula unit

Cell: 6.267 6.267 11.786 Å, 95.10 95.10 120.02°
Atoms (fractional coordinates):
Pr: 0.918 0.585 0.753
Pr: 0.749 0.749 0.248
Pr: 0.082 0.415 0.247
Pr: 0.585 0.918 0.753
Pr: 0.251 0.251 0.752
Pr: 0.415 0.082 0.247
Dy: 0.167 0.833 0.500
Dy: 0.833 0.167 0.500
Dy: 0.500 0.500 0.500
Tm: 0.334 0.666 0.000
Tm: 0.666 0.334 0.000
Mg: 0.000 0.000 0.000



# 9
Below is a relaxed structure of MnH2, with properties calculated at the PBE-GGA level.

Results
DFT total energy = -5.152 eV/atom
Calculated density = 5.03 g cm⁻³
Size of the total moment = 2.6 μB per formula unit

Cell: 2.714 2.714 2.554 Å, 90.00 90.00 90.00°
Each line ends with the local moment (μB).
Atoms (fractional coordinates):
Mn: 0.000 0.000 0.000  2.60
H: 0.000 0.500 0.500  -0.03
H: 0.500 0.000 0.500  -0.03



# 10
Below is a relaxed structure of ReMo2Cl, with properties calculated at the PBE-GGA level.

Results
DFT total energy = -8.409 eV/atom
Calculated density = 10.85 g cm⁻³
Size of the total moment = 0.0 μB per formula unit
E above lowest polymorph = 341 meV/atom
Formation energy from raw total energies = 0.580 eV per atom

Cell: 4.127 2.860 5.536 Å, 75.65 90.00 90.00°
Atoms (fractional coordinates):
Cl: 0.500 0.750 0.750
Mo: 0.000 0.819 0.014
Mo: 0.000 0.681 0.486
Re: 0.500 0.250 0.250



# 11
Below is a relaxed structure of Mg2PbBr, with properties calculated at the PBE-GGA level.

Results
DFT total energy = -2.224 eV/atom
Calculated density = 5.33 g cm⁻³
Size of the total moment = 0.0 μB per formula unit
E above lowest polymorph = 342 meV/atom
Formation energy from raw total energies = -0.081 eV per atom

Cell: 5.290 5.290 5.290 Å, 60.00 60.00 60.00°
Atoms (fractional coordinates):
Pb: 0.500 0.500 0.500
Mg: 0.250 0.250 0.250
Mg: 0.750 0.750 0.750
Br: 0.000 0.000 0.000



# 12
Below is a relaxed structure of Sm2PO5, with properties calculated at the PBE-GGA level.

Results
DFT total energy = -7.768 eV/atom
Calculated density = 6.13 g cm⁻³
Size of the total moment = 0.0 μB per formula unit
Formation energy from raw total energies = -2.813 eV per atom

Cell: 4.219 10.541 10.024 Å, 90.00 90.00 89.70°
Atoms (fractional coordinates):
Sm: 0.270 0.632 0.049
Sm: 0.730 0.368 0.951
Sm: 0.730 0.868 0.549
Sm: 0.270 0.132 0.451
Sm: 0.262 0.056 0.821
Sm: 0.738 0.944 0.179
Sm: 0.738 0.444 0.321
Sm: 0.262 0.556 0.679
P: 0.848 0.781 0.841
P: 0.152 0.219 0.159
P: 0.152 0.719 0.341
P: 0.848 0.281 0.659
O: 0.211 0.761 0.841
O: 0.789 0.239 0.159
O: 0.789 0.739 0.341
O: 0.211 0.261 0.659
O: 0.238 0.585 0.287
O: 0.762 0.415 0.713
O: 0.762 0.915 0.787
O: 0.238 0.085 0.213
O: 0.260 0.744 0.487
O: 0.740 0.256 0.513
O: 0.740 0.756 0.987
O: 0.260 0.244 0.013
O: 0.737 0.683 0.730
O: 0.263 0.317 0.270
O: 0.263 0.817 0.230
O: 0.737 0.183 0.770
O: 0.255 0.979 0.604
O: 0.745 0.021 0.396
O: 0.745 0.521 0.104
O: 0.255 0.479 0.896